[1]
## Pm3In2Sn (PBE)

Data for Pm3In2Sn after structural relaxation.

## Properties
**Space group**: C2/m, No. 12
**Formation energy from the elements**: -37.62 kJ/mol of atoms
**Size of the total moment**: 0.00 μB per formula unit

a b c (Å): 6.7342 6.7542 9.7105
angles (deg): 83.41 76.69 60.10
Closest atoms and distances in Å follow each position.
Atoms (fractional coordinates):
1 Pm 0.4290 0.6622 0.7457  2 Sn 3.18-3.25, 4 In 3.23-3.34
2 Pm 0.2747 0.0000 0.2303  4 In 3.21-3.32, 2 Sn 3.22
3 Pm 0.5710 0.3378 0.2543  2 Sn 3.18-3.25, 4 In 3.23-3.34
4 Pm 0.9088 0.6622 0.2543  2 Sn 3.18-3.25, 4 In 3.23-3.34
5 Pm 0.0912 0.3378 0.7457  2 Sn 3.18-3.25, 4 In 3.23-3.34
6 Pm 0.7253 0.0000 0.7697  4 In 3.21-3.32, 2 Sn 3.22
7 In 0.0000 0.0000 0.0000  6 Pm 3.21-3.33
8 In 0.5000 0.0000 0.5000  6 Pm 3.23-3.32
9 In 0.1471 0.7058 0.5000  6 Pm 3.28-3.34, 1 In 3.45
10 In 0.8529 0.2942 0.5000  6 Pm 3.28-3.34, 1 In 3.45
11 Sn 0.6839 0.6321 0.0000  6 Pm 3.18-3.25
12 Sn 0.3161 0.3679 0.0000  6 Pm 3.18-3.25

***

[2]
## PmIn6Sn (PBE)

Data for PmIn6Sn after structural relaxation.

## Properties
**Space group**: P4/mmm, No. 123
**Formation energy from the elements**: -15.62 kJ/mol of atoms
**Size of the total moment**: 0.00 μB per formula unit

a b c (Å): 4.4757 6.8963 6.8963
angles (deg): 89.98 90.00 90.00
Closest atoms and distances in Å follow each position.
Atoms (fractional coordinates):
1 Pm 0.5000 0.0000 0.0000  12 In 3.34-3.45
2 In 0.0000 0.7451 0.2549  2 Sn 3.27, 8 In 3.31-3.52, 2 Pm 3.34
3 In 0.0000 0.2549 0.7451  2 Sn 3.27, 8 In 3.31-3.52, 2 Pm 3.34
4 In 0.0000 0.7448 0.7448  2 Sn 3.27, 8 In 3.31-3.52, 2 Pm 3.35
5 In 0.0000 0.2552 0.2552  2 Sn 3.27, 8 In 3.31-3.52, 2 Pm 3.35
6 In 0.5000 0.5000 0.0000  8 In 3.31, 2 Sn 3.45, 2 Pm 3.45
7 In 0.5000 0.0000 0.5000  8 In 3.31, 2 Pm 3.45, 2 Sn 3.45
8 Sn 0.5000 0.5000 0.5000  12 In 3.27-3.45

***

[3]
## Pm2In3Sn (PBE)

Data for Pm2In3Sn after structural relaxation.

## Properties
**Space group**: Pmm2, No. 25
**Formation energy from the elements**: -44.01 kJ/mol of atoms
**Size of the total moment**: 0.00 μB per formula unit

a b c (Å): 3.6008 5.0779 8.8455
angles (deg): 90.00 90.00 90.00
Closest atoms and distances in Å follow each position.
Atoms (fractional coordinates):
1 Pm 0.0000 0.5000 0.0029  10 In 3.42-3.46, 2 Sn 3.45, 2 Pm 3.60
2 Pm 0.0000 0.0000 0.4970  4 Sn 3.42, 8 In 3.46-3.47, 2 Pm 3.60
3 In 0.5000 0.0000 0.8315  3 In 2.91-2.93
4 In 0.5000 0.0000 0.1625  1 In 2.93, 2 Sn 2.96
5 In 0.5000 0.5000 0.6705  2 In 2.91, 1 Sn 2.96
6 Sn 0.5000 0.5000 0.3355  3 In 2.96